Density functional theory data (PBE) for an optimized crystal structure of PmHo2Pt.

The calculated density is 9961 kg/m³. The formation energy comes out at -700 meV/atom. For the total energy, the calculation gives -90.99 eV/cell.

The space group is Pnma (No. 62) and the conventional cell measures 7.122, 9.594 and 6.538 Å, with angles of 90.00, 90.00 and 90.00 degrees. Symmetry generates all atoms from Pm at (0.022, 0.250, 0.133), Ho at (0.178, 0.062, 0.674) and Pt at (0.114, 0.750, 0.434).